Record 1
Entry from Alexandria via LeMat-Bulk: a relaxed Hf2AlH crystal (PBE-GGA).

Lattice parameters (Å, degrees): 4.5613 4.5613 4.5613 60.00 60.00 60.00
Sites, in units of the cell vectors:
1 Hf 0.2500 0.2500 0.2500
2 Hf 0.7500 0.7500 0.7500
3 Al 0.0000 0.0000 0.0000
4 H 0.5000 0.5000 0.5000

## Properties
energy above the most stable polymorph in this dataset: 544 meV per atom

Record 2
Entry from Alexandria via LeMat-Bulk: a relaxed Hf2AlH crystal (PBE-GGA).

Lattice parameters (Å, degrees): 5.5190 5.5190 5.5190 108.42 108.42 111.60
Sites, in units of the cell vectors:
1 Hf 0.0440 0.1250 0.4190
2 Hf 0.3750 0.9560 0.0810
3 Hf 0.7060 0.6250 0.5810
4 Hf 0.8750 0.2940 0.9190
5 Al 0.2500 0.7500 0.5000
6 Al 0.5000 0.5000 0.0000
7 H 0.0000 0.0000 0.0000
8 H 0.7500 0.2500 0.5000

## Properties
energy above the most stable polymorph in this dataset: 140 meV per atom

Record 3
Entry from Alexandria via LeMat-Bulk: a relaxed Hf3Al2H crystal (PBE-GGA).

Lattice parameters (Å, degrees): 5.4474 5.4474 6.8257 95.64 95.64 90.02
Sites, in units of the cell vectors:
1 Hf 0.1375 0.8625 0.7500
2 Hf 0.2556 0.3928 0.0138
3 Hf 0.3928 0.2556 0.5138
4 Hf 0.6072 0.7444 0.4862
5 Hf 0.7444 0.6072 0.9862
6 Hf 0.8625 0.1375 0.2500
7 Al 0.0812 0.6431 0.3552
8 Al 0.3569 0.9188 0.1448
9 Al 0.6431 0.0812 0.8552
10 Al 0.9188 0.3569 0.6448
11 H 0.4237 0.5763 0.7500
12 H 0.5763 0.4237 0.2500

## Properties
total DFT energy (no corrections): -0.2613 Ha/atom

Record 4
Entry from Alexandria via LeMat-Bulk: a relaxed Hf2Al2H crystal (PBE-GGA).

Lattice parameters (Å, degrees): 5.8868 5.8868 4.8869 90.00 90.00 90.00
Sites, in units of the cell vectors:
1 Hf 0.1685 0.3315 0.0000
2 Hf 0.3315 0.8315 0.0000
3 Hf 0.6685 0.1685 0.0000
4 Hf 0.8315 0.6685 0.0000
5 Al 0.1585 0.6585 0.5000
6 Al 0.3415 0.1585 0.5000
7 Al 0.6585 0.8415 0.5000
8 Al 0.8415 0.3415 0.5000
9 H 0.0000 0.0000 0.0000
10 H 0.5000 0.5000 0.0000

## Properties
total DFT energy (no corrections): -0.2310 Ha/atom

Record 5
Entry from Alexandria via LeMat-Bulk: a relaxed HfAl2H crystal (PBE-GGA).

Lattice parameters (Å, degrees): 4.5580 4.5580 4.5580 60.00 60.00 60.00
Sites, in units of the cell vectors:
1 Hf 0.0000 0.0000 0.0000
2 Al 0.2500 0.2500 0.2500
3 Al 0.7500 0.7500 0.7500
4 H 0.5000 0.5000 0.5000

## Properties
energy above the most stable polymorph in this dataset: 642 meV per atom

Record 6
Entry from Alexandria via LeMat-Bulk: a relaxed Hf5Al2H crystal (PBE-GGA).

Lattice parameters (Å, degrees): 5.9599 5.9599 5.9599 117.10 117.10 95.09
Sites, in units of the cell vectors:
1 Hf 0.0000 0.0000 0.0000
2 Hf 0.0063 0.0063 0.5055
3 Hf 0.0063 0.5008 0.0000
4 Hf 0.5008 0.0063 0.0000
5 Hf 0.5008 0.5008 0.4945
6 Al 0.0042 0.5042 0.5000
7 Al 0.5042 0.0042 0.5000
8 H 0.7391 0.7391 0.0000

## Properties
total DFT energy (no corrections): -0.2805 Ha/atom

How do the records compare in theoretical density? In the order shown, they have 9.53, 9.89, 9.78, 8.08, 5.79, 10.11 g/cm³.